Below is crystalline Mo2OsW at its relaxed geometry, with properties calculated at the PBE level. Values from VASP.

Cell and atoms, written as Quantum ESPRESSO input:
```
&SYSTEM
  ibrav = 0, nat = 4, ntyp = 3
/
ATOMIC_SPECIES
Mo 95.94 Mo.upf
Os 190.23 Os.upf
W 183.84 W.upf
CELL_PARAMETERS angstrom
2.749 0.000 0.000
0.000 4.418 0.000
-0.956 0.000 5.134
ATOMIC_POSITIONS angstrom
Mo 0.000 0.000 0.000
Mo -0.094 2.209 3.872
Os 1.673 2.209 1.316
W 0.768 0.000 2.569
```

Output
SG = No. 6
energy above the lowest structure with this stoichiometry = 9 meV/atom
energy of formation from the pure elements = 0.129 eV per atom
magnetic moment = 0.00 μB per formula unit